A plane-wave DFT calculation with PBE-GGA was carried out for a relaxed SrSnSe2I crystal.

Cell: 5.600 5.756 5.600 Å, 90.00 90.00 90.00°
Last column: magnetic moment on the atom in μB.
Element x y z (fractional)
1 I 0.000 0.000 0.000  0.02
2 Sr 0.500 0.500 0.500  0.05
3 Sn 0.000 0.500 0.000  0.39
4 Se 0.000 0.000 0.500  0.06
5 Se 0.500 0.000 0.000  0.05

Output
space-group type = P4/mmm (123)
M_tot = 1.35 μB per formula unit
V = 36.099 A^3/atom
final energy = -13.84 eV per cell
ΔE_f (raw) = 1.68 kcal/mol of atoms


A plane-wave DFT calculation with PBE-GGA was carried out for a relaxed SnTeSeI2 crystal.

Cell: 5.690 5.690 5.633 Å, 90.00 90.00 90.00°
Element x y z (fractional)
1 I 0.000 0.500 0.000
2 I 0.500 0.000 0.000
3 Te 0.000 0.000 0.500
4 Sn 0.500 0.500 0.500
5 Se 0.000 0.000 0.000

Output
space-group type = P4/mmm (123)
M_tot = 0.00 μB per formula unit
V = 36.475 A^3/atom
final energy = -12.30 eV per cell
ΔE_f (raw) = 6.61 kcal/mol of atoms


A plane-wave DFT calculation with PBE-GGA was carried out for a relaxed SnTeSeI2 crystal.

Cell: 6.000 6.000 5.924 Å, 90.00 90.00 90.00°
Last column: magnetic moment on the atom in μB.
Element x y z (fractional)
1 I 0.000 0.500 0.000  0.12
2 I 0.500 0.000 0.000  0.12
3 Te 0.000 0.000 0.500  0.52
4 Sn 0.000 0.000 0.000  0.01
5 Se 0.500 0.500 0.500  1.19

Output
space-group type = P4/mmm (123)
M_tot = 3.31 μB per formula unit
V = 42.661 A^3/atom
final energy = -11.51 eV per cell
ΔE_f (raw) = 10.24 kcal/mol of atoms


A plane-wave DFT calculation with PBE-GGA was carried out for a relaxed Th2SnSe2I4 crystal.

Cell: 3.944 3.944 24.031 Å, 90.00 90.00 120.00°
Element x y z (fractional)
1 Th 0.000 0.000 0.996
2 Th 0.667 0.333 0.635
3 Sn 0.000 0.000 0.329
4 Se 0.667 0.333 0.400
5 Se 0.667 0.333 0.257
6 I 0.000 0.000 0.541
7 I 0.667 0.333 0.090
8 I 0.667 0.333 0.901
9 I 0.000 0.000 0.730

Output
space-group type = P3m1 (156)
M_tot = 0.00 μB per formula unit
V = 35.970 A^3/atom
final energy = -38.55 eV per cell
ΔE_f (raw) = -16.76 kcal/mol of atoms


A plane-wave DFT calculation with PBE-GGA was carried out for a relaxed TlSn2SeI crystal.

Cell: 5.922 5.324 5.922 Å, 90.00 90.00 90.00°
Element x y z (fractional)
1 I 0.500 0.500 0.500
2 Tl 0.000 0.000 0.000
3 Sn 0.000 0.000 0.500
4 Sn 0.500 0.000 0.000
5 Se 0.000 0.500 0.000

Output
space-group type = P4/mmm (123)
M_tot = 0.00 μB per formula unit
V = 37.342 A^3/atom
final energy = -13.40 eV per cell
ΔE_f (raw) = 9.25 kcal/mol of atoms


A plane-wave DFT calculation with PBE-GGA was carried out for a relaxed TlSnSeI crystal.

Cell: 4.423 4.424 8.661 Å, 90.00 104.79 120.00°
Element x y z (fractional)
1 Tl 0.491 0.143 0.649
2 Sn 0.109 0.952 0.076
3 Se 0.324 0.560 0.899
4 I 0.955 0.375 0.346

Output
space-group type = R3m (160)
M_tot = 0.00 μB per formula unit
V = 35.060 A^3/atom
final energy = -13.32 eV per cell
ΔE_f (raw) = -11.07 kcal/mol of atoms


A plane-wave DFT calculation with PBE-GGA was carried out for a relaxed YSnSeI2 crystal.

Cell: 5.760 6.556 5.760 Å, 90.00 90.00 90.00°
Last column: magnetic moment on the atom in μB.
Element x y z (fractional)
1 I 0.000 0.000 0.500  0.01
2 I 0.500 0.000 0.000  0.01
3 Y 0.000 0.000 0.000  0.00
4 Sn 0.000 0.500 0.000  -0.05
5 Se 0.500 0.500 0.500  0.52

Output
space-group type = P4/mmm (123)
M_tot = 0.82 μB per formula unit
V = 43.496 A^3/atom
final energy = -17.74 eV per cell
ΔE_f (raw) = -3.16 kcal/mol of atoms


A plane-wave DFT calculation with PBE-GGA was carried out for a relaxed SrSe3I crystal.

Cell: 5.439 5.439 5.439 Å, 90.00 90.00 90.00°
Element x y z (fractional)
1 I 0.000 0.000 0.000
2 Sr 0.500 0.500 0.500
3 Se 0.000 0.500 0.000
4 Se 0.000 0.000 0.500
5 Se 0.500 0.000 0.000

Output
space-group type = Pm-3m (221)
M_tot = 0.00 μB per formula unit
V = 32.177 A^3/atom
final energy = -14.97 eV per cell
ΔE_f (raw) = -5.94 kcal/mol of atoms


A plane-wave DFT calculation with PBE-GGA was carried out for a relaxed Sr3Se2I2 crystal.

Cell: 4.468 7.853 8.297 Å, 98.27 90.01 106.53°
Element x y z (fractional)
1 Sr 0.000 0.000 0.000
2 Sr 0.765 0.530 0.228
3 Sr 0.235 0.470 0.772
4 Se 0.629 0.258 0.911
5 Se 0.371 0.742 0.089
6 I 0.871 0.741 0.623
7 I 0.129 0.259 0.377

Output
space-group type = C2/m (12)
M_tot = 0.00 μB per formula unit
V = 39.417 A^3/atom
final energy = -28.19 eV per cell
ΔE_f (raw) = -43.07 kcal/mol of atoms


A plane-wave DFT calculation with PBE-GGA was carried out for a relaxed Sr3SeI3 crystal.

Cell: 11.239 11.239 11.239 Å, 109.47 109.47 109.47°
Element x y z (fractional)
1 Sr 0.979 0.489 0.239
2 Sr 0.511 0.021 0.261
3 Sr 0.250 0.011 0.489
4 Sr 0.989 0.750 0.011
5 Sr 0.989 0.239 0.479
6 Sr 0.761 0.011 0.021
7 Sr 0.739 0.479 0.489
8 Sr 0.761 0.750 0.239
9 Sr 0.521 0.261 0.011
10 Sr 0.250 0.239 0.261
11 Sr 0.739 0.261 0.750
12 Sr 0.511 0.489 0.750
13 Se 0.750 0.500 0.000
14 Se 0.500 0.250 0.500
15 Se 0.750 0.250 0.250
16 Se 0.000 0.000 0.250
17 I 0.245 0.995 0.991
18 I 0.750 0.755 0.745
19 I 0.491 0.745 0.995
20 I 0.005 0.250 0.995
21 I 0.255 0.745 0.250
22 I 0.495 0.505 0.250
23 I 0.245 0.250 0.755
24 I 0.255 0.509 0.505
25 I 0.750 0.995 0.505
26 I 0.009 0.505 0.755
27 I 0.005 0.755 0.509
28 I 0.495 0.991 0.745

Output
space-group type = I4_132 (214)
M_tot = 0.00 μB per formula unit
V = 39.030 A^3/atom
final energy = -98.77 eV per cell
ΔE_f (raw) = -37.93 kcal/mol of atoms


A plane-wave DFT calculation with PBE-GGA was carried out for a relaxed SrSe2I2 crystal.

Cell: 3.896 3.896 13.130 Å, 81.47 81.47 90.00°
Element x y z (fractional)
1 I 0.423 0.423 0.153
2 I 0.577 0.577 0.847
3 Sr 0.000 0.000 0.000
4 Se 0.750 0.250 0.500
5 Se 0.250 0.750 0.500

Output
space-group type = I4/mmm (139)
M_tot = 0.00 μB per formula unit
V = 38.983 A^3/atom
final energy = -15.71 eV per cell
ΔE_f (raw) = -18.28 kcal/mol of atoms


A plane-wave DFT calculation with PBE-GGA was carried out for a relaxed Sr4SeI5 crystal.

Cell: 4.643 9.148 10.422 Å, 103.34 102.87 90.00°
Element x y z (fractional)
1 Sr 0.658 0.088 0.316
2 Sr 0.001 0.231 0.001
3 Sr 0.342 0.912 0.684
4 Sr 0.999 0.769 0.999
5 Se 0.500 0.000 0.000
6 I 0.166 0.342 0.332
7 I 0.169 0.832 0.338
8 I 0.831 0.168 0.662
9 I 0.500 0.500 0.000
10 I 0.834 0.658 0.668

Output
space-group type = C2/m (12)
M_tot = 0.00 μB per formula unit
V = 41.921 A^3/atom
final energy = -34.42 eV per cell
ΔE_f (raw) = -37.96 kcal/mol of atoms